Record 1
Density functional theory data (PBE) for ErTm6Th2 after structural relaxation.

a b c (Å): 6.3210 10.0362 10.0362
angles (deg): 88.43 70.74 70.74
Positions (direct):
Er 0.2500 0.1307 0.8693
Er 0.7500 0.8693 0.1307
Tm 0.4122 0.7432 0.3675
Tm 0.7119 0.5630 0.0315
Tm 0.6989 0.1975 0.0621
Tm 0.2881 0.4370 0.9685
Tm 0.1989 0.0621 0.1975
Tm 0.5878 0.2568 0.6325
Tm 0.7881 0.9685 0.4370
Tm 0.9122 0.3675 0.7432
Tm 0.0878 0.6325 0.2568
Tm 0.3011 0.8025 0.9379
Tm 0.8011 0.9379 0.8025
Tm 0.2119 0.0315 0.5630
Th 0.6913 0.6780 0.6020
Th 0.3087 0.3220 0.3980
Th 0.1913 0.6020 0.6780
Th 0.8087 0.3980 0.3220

Values from the calculation:
**Raw total energy**: -4.878 eV/atom

Record 2
Density functional theory data (PBE) for Hf4TiSb2 after structural relaxation.

a b c (Å): 7.3796 5.8614 8.1283
angles (deg): 90.00 119.96 90.00
Positions (direct):
Hf 0.8757 0.2500 0.0723
Hf 0.4398 0.9999 0.7734
Hf 0.5602 0.4999 0.2266
Hf 0.0186 0.2500 0.5034
Hf 0.5602 0.0001 0.2266
Hf 0.1243 0.7500 0.9277
Hf 0.9814 0.7500 0.4966
Hf 0.4398 0.5001 0.7734
Sb 0.3260 0.2500 0.3913
Sb 0.6740 0.7500 0.6087
Sb 0.1857 0.2500 0.9158
Sb 0.8143 0.7500 0.0842
Ti 0.2441 0.7500 0.3339
Ti 0.7559 0.2500 0.6661

Values from the calculation:
**Formation energy without anion corrections**: -0.230 eV per atom

Record 3
Density functional theory data (PBE) for SbRu2PtPb after structural relaxation.

a b c (Å): 4.9695 5.5517 4.9695
angles (deg): 90.00 90.00 90.00
Positions (direct):
Pb 0.0000 0.0000 0.0000
Pt 0.5000 0.5000 0.5000
Ru 0.0000 0.0000 0.5000
Ru 0.5000 0.0000 0.0000
Sb 0.0000 0.5000 0.0000

Values from the calculation:
**Formation energy without anion corrections**: 2.111 eV per atom